Record 1
# Pm8Pr3Y

An optimized crystal structure of Pm8Pr3Y (PBE, Alexandria).

Cell and atoms, written as extended XYZ:
```
12
Lattice="7.716 -0.471 -3.648 -4.504 7.159 -1.234 -0.296 0.471 8.529" Properties=species:S:1:pos:R:3 pbc="T T T"
Pr 5.316 3.344 0.000
Pm -3.491 5.549 1.229
Pm 5.203 0.597 -1.833
Pm -4.128 6.562 4.269
Pm 0.311 5.456 3.603
Pr 0.406 5.252 -0.617
Pm -3.084 4.902 6.692
Pm -1.368 2.174 6.155
Pm 0.126 2.728 1.814
Pm 2.663 1.611 -0.044
Y 7.420 0.000 4.882
Pr 2.510 1.908 4.265
```

Crystal system: tetragonal
ρ: 6.07 g/cm³
Energy of formation: 0.560 eV per atom

Record 2
# Pm4Pr2Y3

An optimized crystal structure of Pm4Pr2Y3 (PBE, Alexandria).

Cell and atoms, written as extended XYZ:
```
18
Lattice="-6.081 -1.027 -1.113 -2.798 -5.956 -9.391 -3.989 -10.652 1.452" Properties=species:S:1:pos:R:3 pbc="T T T"
Pr -7.561 -10.213 -7.090
Pm -7.030 -9.795 -0.320
Pm -5.838 -7.841 -8.732
Y -2.552 -2.541 -2.703
Pm -7.558 -12.968 -4.638
Pr -4.856 -11.026 -3.473
Pm -5.310 -4.667 -4.414
Y -7.033 -13.626 -7.997
Pm -10.268 -12.175 -8.210
Y -10.316 -15.094 -6.348
Y -5.834 -4.010 -1.055
Pm -3.130 -5.891 -7.590
Pr -5.307 -7.422 -1.962
Y -4.791 -8.079 -5.360
Pm -2.600 -5.460 -0.841
Pm -9.738 -11.744 -1.462
Y -8.076 -9.556 -3.692
Pr -8.011 -6.610 -5.579
```

Crystal system: monoclinic
ρ: 6.13 g/cm³
Energy of formation: 0.081 eV per atom

Record 3
# Pm4PrY3

An optimized crystal structure of Pm4PrY3 (PBE, Alexandria).

Cell and atoms, written as extended XYZ:
```
8
Lattice="-0.905 -2.220 2.532 6.613 -0.666 1.780 -3.853 10.206 5.171" Properties=species:S:1:pos:R:3 pbc="T T T"
Pr -0.452 -1.110 1.266
Pm 0.475 5.295 7.213
Y 3.306 -0.333 0.890
Pm 1.380 2.026 2.269
Pm 2.796 4.214 4.694
Pm -0.941 3.107 4.789
Y -2.900 5.632 6.303
Y 4.755 1.689 3.180
```

Crystal system: monoclinic
Energy above the lowest structure with this stoichiometry: 0.146 eV/atom
ρ: 5.96 g/cm³
Energy of formation: 0.168 eV per atom

Record 4
# Pm2Pr5Y3

An optimized crystal structure of Pm2Pr5Y3 (PBE, Alexandria).

Cell and atoms, written as extended XYZ:
```
20
Lattice="9.007 2.056 -4.363 0.600 9.174 -4.418 -2.369 -2.690 10.796" Properties=species:S:1:pos:R:3 pbc="T T T"
Pr 3.536 2.057 2.287
Y 1.044 3.386 4.563
Pr 7.854 2.863 -0.381
Pr 6.552 5.542 1.527
Y 0.396 6.893 5.057
Y 6.195 5.155 -2.548
Pm 5.262 -0.110 4.576
Pr 2.675 5.249 -2.975
Y 6.843 1.647 -3.042
Pr 5.607 8.634 -3.956
Pm 4.331 2.997 -0.874
Pm 2.908 5.544 2.888
Y 0.124 6.506 -0.857
Pr 0.687 2.998 0.488
Pr -0.616 5.678 2.396
Pr 1.631 -0.093 5.971
Pr 3.703 6.484 -0.272
Pm 1.977 8.651 -2.561
Pr 4.563 3.291 4.990
Y 7.115 2.034 2.872
```

Crystal system: monoclinic
Energy above the lowest structure with this stoichiometry: 0.000 eV/atom
ρ: 5.94 g/cm³
Energy of formation: 0.174 eV per atom

Record 5
# Pm2Pr4Y3

An optimized crystal structure of Pm2Pr4Y3 (PBE, Alexandria).

Cell and atoms, written as extended XYZ:
```
18
Lattice="5.914 1.748 1.252 2.233 11.264 0.727 2.233 4.317 10.429" Properties=species:S:1:pos:R:3 pbc="T T T"
Pm 4.173 5.729 6.133
Pm 7.130 8.526 4.073
Pr 5.671 10.894 9.856
Pr 5.460 5.550 9.255
Y 8.178 13.577 11.231
Y 2.201 3.751 1.176
Y 5.221 14.133 8.609
Pr 1.751 3.614 4.644
Pm 3.250 8.803 8.334
Pr 4.708 6.435 2.551
Pm 6.207 11.600 6.274
Y 6.668 8.394 7.504
Pr 2.503 9.675 1.646
Pr 8.628 13.715 7.763
Y 5.159 3.196 3.798
Pr 7.877 7.654 10.761
Pr 4.920 11.779 3.152
Y 3.711 8.935 4.903
```

Crystal system: monoclinic
Energy above the lowest structure with this stoichiometry: 0.064 eV/atom
ρ: 6.01 g/cm³
Energy of formation: 0.079 eV per atom

Record 6
# PmPr2Y

An optimized crystal structure of PmPr2Y (PBE, Alexandria).

Cell and atoms, written as extended XYZ:
```
4
Lattice="-1.453 2.993 1.574 -3.613 0.148 0.688 0.160 -3.697 11.494" Properties=species:S:1:pos:R:3 pbc="T T T"
Pr -1.221 -0.157 3.482
Y -2.452 -0.279 6.879
Pr -0.307 -2.500 8.787
Pm -3.219 -1.594 12.979
```

Crystal system: trigonal
Energy above the lowest structure with this stoichiometry: 0.004 eV/atom
ρ: 6.14 g/cm³
Energy of formation: 0.013 eV per atom

Record 7
# Pm2Pr3Y8

An optimized crystal structure of Pm2Pr3Y8 (PBE, Alexandria).

Cell and atoms, written as extended XYZ:
```
13
Lattice="-4.992 -2.175 -1.783 -4.963 4.192 8.804 -5.066 9.246 2.929" Properties=species:S:1:pos:R:3 pbc="T T T"
Pm -4.913 2.163 1.947
Y -8.687 11.633 10.158
Y -6.334 -0.370 -0.208
Y -6.404 3.118 4.938
Y -8.574 6.025 7.477
Pr -4.993 5.670 7.087
Y -6.447 5.238 2.473
Pm -10.107 9.100 8.004
Y -8.617 8.146 5.012
Pr -2.496 -1.087 -0.892
Y -6.729 9.009 7.867
Pr -5.036 7.768 4.647
Y -8.291 2.254 2.084
```

Crystal system: monoclinic
Energy above the lowest structure with this stoichiometry: 0.098 eV/atom
ρ: 5.20 g/cm³
Energy of formation: 0.249 eV per atom

Record 8
# Pm4Pr6Y

An optimized crystal structure of Pm4Pr6Y (PBE, Alexandria).

Cell and atoms, written as extended XYZ:
```
11
Lattice="7.657 -3.111 -5.702 -5.323 8.258 2.071 -2.005 3.111 9.334" Properties=species:S:1:pos:R:3 pbc="T T T"
Pr 3.527 0.170 -1.491
Pr -1.282 5.116 4.211
Pr 1.167 2.574 -1.816
Pm 0.201 2.988 2.026
Pm -1.328 2.060 5.942
Y 0.000 0.000 0.000
Pm -3.397 5.270 1.411
Pr 2.826 0.000 1.816
Pr -5.214 8.088 5.898
Pm -2.475 9.309 7.728
Pr -4.030 6.253 8.488
```

Crystal system: tetragonal
ρ: 6.30 g/cm³
Energy of formation: 0.275 eV per atom

Record 9
# Pm4PrY7

An optimized crystal structure of Pm4PrY7 (PBE, Alexandria).

Cell and atoms, written as extended XYZ:
```
12
Lattice="5.944 0.000 0.000 2.972 11.405 -0.245 2.972 0.228 6.112" Properties=species:S:1:pos:R:3 pbc="T T T"
Y 5.944 5.851 4.572
Y 5.944 5.782 1.294
Pm 8.917 7.829 4.651
Pm 5.944 8.965 2.850
Y 2.972 7.819 0.962
Y 2.972 0.000 0.000
Y 8.917 10.635 2.817
Pm 2.972 3.804 1.216
Y 8.917 3.815 4.904
Y 2.972 0.999 3.050
Pr 0.000 0.000 0.000
Pm 5.944 2.668 3.016
```

Crystal system: monoclinic
Energy above the lowest structure with this stoichiometry: 0.181 eV/atom
ρ: 5.38 g/cm³
Energy of formation: 0.260 eV per atom

Record 10
# Pm4PrY

An optimized crystal structure of Pm4PrY (PBE, Alexandria).

Cell and atoms, written as extended XYZ:
```
6
Lattice="-2.776 0.570 6.081 3.796 -0.646 5.494 1.332 5.362 3.807" Properties=species:S:1:pos:R:3 pbc="T T T"
Pm 1.472 3.307 9.625
Pr 0.588 1.321 3.846
Pm 2.867 3.020 6.567
Y 0.000 0.000 0.000
Pm -0.437 3.632 6.862
Pm 0.802 0.611 7.711
```

Crystal system: cubic
Energy above the lowest structure with this stoichiometry: 0.225 eV/atom
ρ: 6.30 g/cm³
Energy of formation: 0.241 eV per atom

Record 11
# PmPr4Y7

An optimized crystal structure of PmPr4Y7 (PBE, Alexandria).

Cell and atoms, written as extended XYZ:
```
12
Lattice="5.958 0.000 0.000 2.979 11.518 -0.279 2.979 0.243 6.117" Properties=species:S:1:pos:R:3 pbc="T T T"
Y 8.937 10.749 2.787
Y 2.979 0.000 0.000
Y 5.958 5.875 1.259
Pr 2.979 3.923 1.289
Pm 0.000 0.000 0.000
Pr 8.937 7.838 4.549
Y 2.979 1.012 3.051
Y 2.979 7.981 0.840
Y 5.958 5.886 4.579
Pr 5.958 9.068 2.834
Pr 5.958 2.693 3.004
Y 8.937 3.780 4.998
```

Crystal system: monoclinic
Energy above the lowest structure with this stoichiometry: 0.174 eV/atom
ρ: 5.26 g/cm³
Energy of formation: 0.253 eV per atom

Record 12
# Pm2Pr4Y

An optimized crystal structure of Pm2Pr4Y (PBE, Alexandria).

Cell and atoms, written as extended XYZ:
```
7
Lattice="-0.224 -3.459 1.239 -0.897 -2.726 -2.305 19.882 -4.967 -4.805" Properties=species:S:1:pos:R:3 pbc="T T T"
Pr 16.286 -8.681 -4.889
Y 0.000 0.000 0.000
Pr 11.228 -3.726 -2.904
Pr 2.475 -2.470 -0.981
Pm 5.004 -4.948 -1.974
Pr 7.533 -7.426 -2.966
Pm 13.757 -6.203 -3.897
```

Crystal system: trigonal
ρ: 6.37 g/cm³
Energy of formation: 0.007 eV per atom

Record 13
# Pm5Pr3Y2

An optimized crystal structure of Pm5Pr3Y2 (PBE, Alexandria).

Cell and atoms, written as extended XYZ:
```
20
Lattice="8.944 2.063 -4.342 0.552 9.107 -4.369 -2.299 -2.642 10.799" Properties=species:S:1:pos:R:3 pbc="T T T"
Pm 0.864 3.090 0.471
Pr 1.034 3.427 4.589
Y 1.941 8.703 -2.505
Pm 7.848 2.918 -0.255
Pr 6.163 5.101 -2.501
Pr 7.117 2.025 2.918
Pm 3.584 2.136 2.461
Y 5.256 -0.175 4.593
Y 2.874 5.602 2.860
Pr 0.080 6.503 -0.830
Pm 5.401 8.541 -3.744
Pm 4.591 3.346 5.110
Pm 1.796 -0.013 5.832
Pm -0.651 5.610 2.343
Pr 0.380 6.850 5.058
Y 4.323 2.926 -0.772
Pr 6.817 1.678 -2.970
Pm 3.613 6.393 -0.373
Pm 6.332 5.438 1.617
Pm 2.606 5.183 -3.022
```

Crystal system: monoclinic
ρ: 6.29 g/cm³
Energy of formation: 0.174 eV per atom

Record 14
# Pm3Pr2Y6

An optimized crystal structure of Pm3Pr2Y6 (PBE, Alexandria).

Cell and atoms, written as extended XYZ:
```
11
Lattice="-1.402 -3.720 4.779 4.122 -0.856 4.585 -4.957 7.797 7.326" Properties=species:S:1:pos:R:3 pbc="T T T"
Pr 0.035 2.708 7.515
Y -1.553 3.731 10.548
Y -0.684 -0.510 6.142
Y -2.467 5.255 7.423
Y -1.587 1.009 3.025
Pm 1.838 -3.046 6.253
Y 0.230 -2.033 9.266
Pm 0.000 0.000 0.000
Y -4.772 3.069 9.080
Pm 0.882 -1.530 3.110
Pr -2.272 0.514 9.174
```

Crystal system: monoclinic
Energy above the lowest structure with this stoichiometry: 0.000 eV/atom
ρ: 5.34 g/cm³
Energy of formation: 0.180 eV per atom

Record 15
# Pm4PrY

An optimized crystal structure of Pm4PrY (PBE, Alexandria).

Cell and atoms, written as extended XYZ:
```
6
Lattice="3.655 0.000 0.000 0.000 4.975 -1.332 0.000 -2.133 11.930" Properties=species:S:1:pos:R:3 pbc="T T T"
Pm 0.000 0.949 3.549
Pm 1.828 -0.128 9.467
Pm 1.828 2.970 1.132
Pm 0.000 1.893 7.049
Pr 0.000 0.000 0.000
Y 1.828 -1.067 5.965
```

Crystal system: orthorhombic
Energy above the lowest structure with this stoichiometry: 0.000 eV/atom
ρ: 6.51 g/cm³
Energy of formation: 0.015 eV per atom

Record 16
# Pm2Pr8Y

An optimized crystal structure of Pm2Pr8Y (PBE, Alexandria).

Cell and atoms, written as extended XYZ:
```
11
Lattice="-2.779 -4.998 -0.918 6.981 -3.252 -3.433 0.259 1.470 9.489" Properties=species:S:1:pos:R:3 pbc="T T T"
Pr 4.930 -2.296 -2.424
Pr 0.755 -0.849 2.338
Pr 0.295 -1.271 6.027
Pm 4.444 -2.699 1.238
Pr 3.143 -2.597 4.626
Pr 1.318 -4.183 0.512
Pr -0.469 -4.484 7.563
Pr 4.166 -5.510 -0.889
Pm 0.017 -4.082 3.900
Y -1.390 -2.499 -0.459
Pr 3.707 -5.931 2.800
```

Crystal system: orthorhombic
Energy above the lowest structure with this stoichiometry: 0.000 eV/atom
ρ: 6.30 g/cm³
Energy of formation: 0.106 eV per atom

Record 17
# Pm3Pr3Y2

An optimized crystal structure of Pm3Pr3Y2 (PBE, Alexandria).

Cell and atoms, written as extended XYZ:
```
8
Lattice="5.178 0.000 0.000 0.000 5.180 -0.001 -2.589 -2.592 10.304" Properties=species:S:1:pos:R:3 pbc="T T T"
Y 0.000 2.589 5.156
Y 2.589 -0.001 5.147
Pr 2.589 0.000 0.000
Pm 0.000 -0.001 2.610
Pm 0.000 2.590 -0.001
Pr 2.589 2.589 2.602
Pm 2.589 2.588 7.693
Pr 0.000 -0.002 7.701
```

Crystal system: orthorhombic
Energy above the lowest structure with this stoichiometry: 0.000 eV/atom
ρ: 6.22 g/cm³
Energy of formation: 0.016 eV per atom

Record 18
# Pm5Pr4Y4

An optimized crystal structure of Pm5Pr4Y4 (PBE, Alexandria).

Cell and atoms, written as extended XYZ:
```
13
Lattice="4.986 0.000 1.268 2.493 9.315 0.634 0.198 0.000 9.662" Properties=species:S:1:pos:R:3 pbc="T T T"
Pr 3.930 2.848 5.422
Pm 0.000 0.000 0.000
Y 1.080 0.717 6.190
Y 6.596 8.598 5.373
Pr 3.747 6.467 6.141
Pr 1.791 5.028 3.394
Y 2.867 5.733 9.601
Y 4.809 3.582 1.962
Pr 5.885 4.287 8.169
Pm 5.711 7.910 8.853
Pm 1.965 1.405 2.710
Pm 3.037 2.143 8.933
Pm 4.640 7.172 2.630
```

Crystal system: tetragonal
ρ: 6.12 g/cm³
Energy of formation: 0.014 eV per atom

Record 19
# Pm5PrY3

An optimized crystal structure of Pm5PrY3 (PBE, Alexandria).

Cell and atoms, written as extended XYZ:
```
18
Lattice="-5.384 -7.462 2.052 9.094 -1.681 -3.908 2.869 -0.209 6.768" Properties=species:S:1:pos:R:3 pbc="T T T"
Y 3.006 -1.987 0.662
Pr -0.902 -2.296 2.309
Pm -2.852 -4.998 3.052
Pm 5.246 -2.313 -2.286
Pr -1.614 -5.375 6.511
Pm 4.781 -5.050 1.821
Pm 0.336 -2.673 5.768
Pm 1.798 -4.302 3.091
Y 2.139 -7.261 0.866
Y 0.000 0.000 0.000
Pm 1.333 -7.039 7.198
Y 3.573 -7.365 4.250
Pm 6.209 -5.154 5.190
Y 1.434 -0.105 3.384
Pm 6.674 -2.417 1.083
Y 4.440 -2.091 4.046
Pm -0.095 -6.935 3.829
Pm 0.370 -4.198 -0.278
```

Crystal system: orthorhombic
Energy above the lowest structure with this stoichiometry: 0.000 eV/atom
ρ: 6.12 g/cm³
Energy of formation: 0.122 eV per atom

Record 20
# PmPr4Y5

An optimized crystal structure of PmPr4Y5 (PBE, Alexandria).

Cell and atoms, written as extended XYZ:
```
10
Lattice="3.504 -0.001 -0.712 -0.130 11.329 -0.630 -0.017 0.488 8.904" Properties=species:S:1:pos:R:3 pbc="T T T"
Y 0.480 10.867 2.394
Y 2.830 5.382 4.939
Y 1.687 5.664 -0.671
Pm 1.752 0.000 -0.356
Pr 0.014 8.520 0.054
Y 0.528 6.435 2.622
Pr 3.343 3.296 7.507
Pr 1.107 8.833 5.420
Y 2.878 0.949 5.167
Pr 2.251 2.983 2.142
```

Crystal system: triclinic
Energy above the lowest structure with this stoichiometry: 0.175 eV/atom
ρ: 5.40 g/cm³
Energy of formation: 0.189 eV per atom